Computed, not measured: a relaxed structure of LiHfPb3 at the GGA-PBE level of DFT.

It has space group Pm-3m (No. 221), with a = 5.082 Å, b = 5.082 Å, c = 5.082 Å, α = 90.00°, β = 90.00° and γ = 90.00°. The asymmetric unit holds Li at (0.000, 0.000, 0.000), Hf at (0.500, 0.500, 0.500) and Pb at (0.000, 0.000, 0.500).

The calculation puts the offset from the most stable computed form at 232 meV per atom.